Record 1
LaPdPb2: relaxed, GGA-PBE.

abc: 4.8116 4.6818 4.6818
angles: 90.00 90.00 90.00
With the nearest neighbours (Å) after each atom.
Element x y z (fractional)
Pb 0.0000 0.0000 0.5000  4 Pb 3.31, 4 La 3.36, 4 Pd 3.36
Pb 0.0000 0.5000 0.0000  4 Pb 3.31, 4 La 3.36, 4 Pd 3.36
La 0.5000 0.5000 0.5000  4 Pd 3.31, 8 Pb 3.36
Pd 0.5000 0.0000 0.0000  4 La 3.31, 8 Pb 3.36

Space-group type ... P4/mmm
Total DFT energy (no corrections) ... -4.818 eV per atom
Formation energy from the elements ... -434 meV/atom
Total magnetization ... 0.000 μB/atom



Record 2
La4PdPb: relaxed, GGA-PBE.

abc: 5.7856 7.3054 9.8215
angles: 90.00 115.31 90.00
With the nearest neighbours (Å) after each atom.
Element x y z (fractional)
La 0.6012 0.2500 0.4567  1 Pd 2.86
La 0.6585 0.2500 0.8686  1 Pd 3.06, 1 Pb 3.43
La 0.9101 0.4753 0.2420  2 Pd 3.08-3.27, 1 La 3.29
La 0.3415 0.7500 0.1314  1 Pd 3.06, 1 Pb 3.43
La 0.9101 0.0247 0.2420  2 Pd 3.08-3.27, 1 La 3.29
La 0.3988 0.7500 0.5433  1 Pd 2.86
La 0.0899 0.5247 0.7580  2 Pd 3.08-3.27, 1 La 3.29
La 0.0899 0.9753 0.7580  2 Pd 3.08-3.27, 1 La 3.29
Pd 0.2054 0.2500 0.5573  4 La 2.86-3.08
Pd 0.7946 0.7500 0.4427  4 La 2.86-3.08
Pb 0.6937 0.7500 0.9171  11 La 3.32-3.68
Pb 0.3063 0.2500 0.0829  11 La 3.32-3.68

Space-group type ... P2_1/m
Total DFT energy (no corrections) ... -5.238 eV per atom
Formation energy from the elements ... -469 meV/atom
Total magnetization ... 0.000 μB/atom



Record 3
LaPd2Pb: relaxed, GGA-PBE.

abc: 3.7460 4.9144 4.9144
angles: 90.00 90.00 90.00
With the nearest neighbours (Å) after each atom.
Element x y z (fractional)
Pd 0.0000 0.0000 0.5000  4 Pb 3.09, 4 La 3.09
Pd 0.0000 0.5000 0.0000  4 La 3.09, 4 Pb 3.09
La 0.5000 0.0000 0.0000  8 Pd 3.09
Pb 0.5000 0.5000 0.5000  8 Pd 3.09

Space-group type ... P4/mmm
Total DFT energy (no corrections) ... -5.324 eV per atom
Formation energy from the elements ... -569 meV/atom
Total magnetization ... 0.000 μB/atom



Record 4
LaPd2Pb2: relaxed, GGA-PBE.

abc: 4.7609 4.7609 6.4725
angles: 68.42 68.42 90.00
With the nearest neighbours (Å) after each atom.
Element x y z (fractional)
Pd 0.3817 0.3817 0.2365  1 Pd 2.62, 4 Pb 2.79
Pd 0.6183 0.6183 0.7635  1 Pd 2.62, 4 Pb 2.79
Pb 0.7500 0.2500 0.5000  4 Pd 2.79
Pb 0.2500 0.7500 0.5000  4 Pd 2.79
La 0.0000 0.0000 0.0000  8 Pd 3.61, 8 Pb 3.65

Space-group type ... I4/mmm
Total DFT energy (no corrections) ... -4.999 eV per atom
Formation energy from the elements ... -453 meV/atom
Total magnetization ... 0.000 μB/atom



Record 5
LaPd4Pb: relaxed, GGA-PBE.

abc: 5.6138 4.8990 9.4468
angles: 105.00 107.35 89.95
With the nearest neighbours (Å) after each atom.
Element x y z (fractional)
Pd 0.7447 0.3405 0.1811  1 Pb 2.82, 7 Pd 2.92-3.15, 3 La 2.96-3.01
Pd 0.0081 0.0876 0.6750  3 Pb 2.81-2.92, 1 La 2.83, 5 Pd 2.92-3.11
Pd 0.9919 0.9124 0.3250  3 Pb 2.81-2.92, 1 La 2.83, 5 Pd 2.92-3.11
Pd 0.2553 0.6595 0.8189  1 Pb 2.82, 7 Pd 2.92-3.15, 3 La 2.96-3.01
Pd 0.6675 0.5877 0.6753  3 Pb 2.81-2.92, 1 La 2.83, 5 Pd 2.92-3.11
Pd 0.3325 0.4123 0.3247  3 Pb 2.81-2.92, 1 La 2.83, 5 Pd 2.92-3.11
Pd 0.4362 0.8403 0.1809  1 Pb 2.82, 7 Pd 2.92-3.16, 3 La 2.96-3.02
Pd 0.5638 0.1597 0.8191  1 Pb 2.82, 7 Pd 2.92-3.16, 3 La 2.96-3.02
La 0.7936 0.7504 0.0003  8 Pd 2.83-3.02
La 0.2064 0.2496 0.9997  8 Pd 2.83-3.02
Pb 0.5000 0.0000 0.5000  8 Pd 2.81-2.92
Pb 0.0000 0.5000 0.5000  8 Pd 2.81-2.92

Space-group type ... P-1
Total DFT energy (no corrections) ... -5.377 eV per atom
Offset from the most stable computed form ... 0.113 eV/atom
Formation energy from the elements ... -475 meV/atom
Total magnetization ... 0.000 μB/atom



Record 6
La2PdPb: relaxed, GGA-PBE.

abc: 6.3511 6.3511 9.1724
angles: 69.74 69.74 90.00
With the nearest neighbours (Å) after each atom.
Element x y z (fractional)
La 0.3750 0.4139 0.7500  2 Pd 2.88, 2 Pb 3.14
La 0.1639 0.6250 0.2500  2 Pd 2.88, 2 Pb 3.14
La 0.5861 0.1250 0.2500  2 Pd 2.88, 2 Pb 3.14
La 0.8750 0.8361 0.7500  2 Pd 2.88, 2 Pb 3.14
Pb 0.7500 0.2500 0.5000  4 La 3.14
Pb 0.0000 0.0000 0.0000  4 La 3.14
Pd 0.5000 0.5000 0.0000  4 La 2.88
Pd 0.2500 0.7500 0.5000  4 La 2.88

Space-group type ... I-42d
Total DFT energy (no corrections) ... -4.769 eV per atom
Formation energy from the elements ... -80 meV/atom
Total magnetization ... 0.000 μB/atom



| no. | V (Å³ per atom) |
| --- | --- |
| 1 | 26.367 |
| 2 | 31.272 |
| 3 | 22.618 |
| 4 | 25.061 |
| 5 | 19.892 |
| 6 | 40.325 |